(1)
CdAgAu: optimized geometry, PBE-GGA.

SG: P3m1, No. 156
Energy relative to the lowest polymorph listed for this composition: 36 meV per atom
Uncorrected energy: -2.426 eV/atom
Crystal system: trigonal

Lattice parameters (Å, degrees): 4.7483 4.7483 2.8972 90.00 90.00 120.00
Closest atoms and distances in Å follow each position.
Atoms (fractional coordinates):
Cd 0.0000 0.0000 0.0000  3 Au 2.89, 2 Cd 2.90, 3 Ag 2.94
Ag 0.6667 0.3333 0.3645  3 Au 2.89, 2 Ag 2.90, 3 Cd 2.94
Au 0.3333 0.6667 0.6790  3 Ag 2.89, 3 Cd 2.89, 2 Au 2.90


(2)
Cd3AgAu: optimized geometry, PBE-GGA.

SG: Pmmn, No. 59
Energy relative to the lowest polymorph listed for this composition: 4 meV per atom
Uncorrected energy: -1.814 eV/atom
Crystal system: orthorhombic

Lattice parameters (Å, degrees): 3.1197 9.0677 7.7349 90.00 90.00 90.00
Closest atoms and distances in Å follow each position.
Atoms (fractional coordinates):
Cd 0.2500 0.0257 0.1999  2 Ag 2.93, 3 Au 2.96-2.98, 4 Cd 3.07-3.12
Cd 0.2500 0.2500 0.6880  2 Ag 2.82, 2 Au 2.93, 6 Cd 3.07-3.12
Cd 0.2500 0.4743 0.1999  2 Ag 2.93, 3 Au 2.96-2.98, 4 Cd 3.07-3.12
Cd 0.7500 0.5257 0.8001  2 Ag 2.93, 3 Au 2.96-2.98, 4 Cd 3.07-3.12
Cd 0.7500 0.7500 0.3120  2 Ag 2.82, 2 Au 2.93, 6 Cd 3.07-3.12
Cd 0.7500 0.9743 0.8001  2 Ag 2.93, 3 Au 2.96-2.98, 4 Cd 3.07-3.12
Ag 0.2500 0.7500 0.6154  6 Cd 2.82-2.93, 1 Au 2.90, 2 Ag 3.12
Ag 0.7500 0.2500 0.3846  6 Cd 2.82-2.93, 1 Au 2.90, 2 Ag 3.12
Au 0.2500 0.7500 0.9906  1 Ag 2.90, 8 Cd 2.93-2.98, 2 Au 3.12
Au 0.7500 0.2500 0.0094  1 Ag 2.90, 8 Cd 2.93-2.98, 2 Au 3.12


(3)
Cd4AgAu15: optimized geometry, PBE-GGA.

SG: P4/mmm, No. 123
Uncorrected energy: -2.881 eV/atom
Crystal system: tetragonal

Lattice parameters (Å, degrees): 4.1439 4.1439 21.5642 90.00 90.00 90.00
Closest atoms and distances in Å follow each position.
Atoms (fractional coordinates):
Cd 0.0000 0.0000 0.1006  12 Au 2.93-3.00
Cd 0.0000 0.0000 0.3027  12 Au 2.93-3.01
Cd 0.0000 0.0000 0.6973  12 Au 2.93-3.01
Cd 0.0000 0.0000 0.8994  12 Au 2.93-3.00
Ag 0.0000 0.0000 0.5000  12 Au 2.93-2.96
Au 0.0000 0.5000 0.0000  8 Au 2.93-3.00, 4 Cd 3.00
Au 0.0000 0.5000 0.2014  8 Au 2.93-3.00, 4 Cd 3.00-3.01
Au 0.0000 0.5000 0.4021  8 Au 2.93-3.00, 2 Ag 2.96, 2 Cd 2.98
Au 0.0000 0.5000 0.5979  8 Au 2.93-3.00, 2 Ag 2.96, 2 Cd 2.98
Au 0.0000 0.5000 0.7986  8 Au 2.93-3.00, 4 Cd 3.00-3.01
Au 0.5000 0.0000 0.0000  8 Au 2.93-3.00, 4 Cd 3.00
Au 0.5000 0.0000 0.2014  8 Au 2.93-3.00, 4 Cd 3.00-3.01
Au 0.5000 0.0000 0.4021  8 Au 2.93-3.00, 2 Ag 2.96, 2 Cd 2.98
Au 0.5000 0.0000 0.5979  8 Au 2.93-3.00, 2 Ag 2.96, 2 Cd 2.98
Au 0.5000 0.0000 0.7986  8 Au 2.93-3.00, 4 Cd 3.00-3.01
Au 0.5000 0.5000 0.1005  4 Cd 2.93, 8 Au 3.00
Au 0.5000 0.5000 0.3014  4 Cd 2.93, 8 Au 2.99-3.00
Au 0.5000 0.5000 0.5000  4 Ag 2.93, 8 Au 2.96
Au 0.5000 0.5000 0.6986  4 Cd 2.93, 8 Au 2.99-3.00
Au 0.5000 0.5000 0.8995  4 Cd 2.93, 8 Au 3.00


(4)
Cd8Ag2Au3: optimized geometry, PBE-GGA.

SG: C2/m, No. 12
Energy relative to the lowest polymorph listed for this composition: 25 meV per atom
Uncorrected energy: -1.812 eV/atom
Crystal system: monoclinic

Lattice parameters (Å, degrees): 7.3863 7.3863 5.6957 96.98 96.98 65.91
Closest atoms and distances in Å follow each position.
Atoms (fractional coordinates):
Cd 0.0691 0.6955 0.0740  2 Ag 2.85-2.93, 2 Au 2.86-2.97, 3 Cd 3.00-3.15
Cd 0.0970 0.0970 0.3886  1 Ag 2.85, 4 Cd 2.88-3.08, 2 Au 2.96
Cd 0.3045 0.9309 0.9260  2 Ag 2.85-2.93, 2 Au 2.86-2.97, 3 Cd 3.00-3.15
Cd 0.3079 0.3079 0.6853  3 Au 2.77-3.09, 2 Ag 2.77-2.93, 1 Cd 2.90
Cd 0.6921 0.6921 0.3147  3 Au 2.77-3.09, 2 Ag 2.77-2.93, 1 Cd 2.90
Cd 0.6955 0.0691 0.0740  2 Ag 2.85-2.93, 2 Au 2.86-2.97, 3 Cd 3.00-3.15
Cd 0.9030 0.9030 0.6114  1 Ag 2.85, 4 Cd 2.88-3.08, 2 Au 2.96
Cd 0.9309 0.3045 0.9260  2 Ag 2.85-2.93, 2 Au 2.86-2.97, 3 Cd 3.00-3.15
Ag 0.2970 0.2970 0.1958  7 Cd 2.77-2.93, 1 Au 2.90
Ag 0.7030 0.7030 0.8042  7 Cd 2.77-2.93, 1 Au 2.90
Au 0.3218 0.6782 0.5000  6 Cd 2.86-3.09, 3 Au 2.86-3.19, 2 Ag 3.18
Au 0.5000 0.5000 0.0000  6 Cd 2.77-2.97, 2 Ag 2.90
Au 0.6782 0.3218 0.5000  6 Cd 2.86-3.09, 3 Au 2.86-3.19, 2 Ag 3.18


(5)
CdAg7Au2: optimized geometry, PBE-GGA.

SG: P2/m, No. 10
Energy relative to the lowest polymorph listed for this composition: 0 meV per atom
Uncorrected energy: -2.711 eV/atom
Crystal system: monoclinic

Lattice parameters (Å, degrees): 7.1418 2.8663 9.8157 90.00 110.69 90.00
Closest atoms and distances in Å follow each position.
Atoms (fractional coordinates):
Cd 0.0000 0.0000 0.0000  2 Cd 2.87, 4 Au 3.00, 4 Ag 3.04
Ag 0.0000 0.5000 0.5000  10 Ag 2.79-2.92
Ag 0.1804 0.5000 0.8026  6 Ag 2.79-3.03, 2 Au 2.81-2.84, 2 Cd 3.04
Ag 0.2450 0.5000 0.3329  8 Ag 2.79-2.99, 1 Au 2.81
Ag 0.3801 0.0000 0.6183  10 Ag 2.87-3.03, 2 Au 2.99
Ag 0.6199 0.0000 0.3817  10 Ag 2.87-3.03, 2 Au 2.99
Ag 0.7550 0.5000 0.6671  8 Ag 2.79-2.99, 1 Au 2.81
Ag 0.8196 0.5000 0.1974  6 Ag 2.79-3.03, 2 Au 2.81-2.84, 2 Cd 3.04
Au 0.3947 0.5000 0.1043  5 Ag 2.81-2.99, 3 Au 2.87-2.94, 2 Cd 3.00
Au 0.6053 0.5000 0.8957  5 Ag 2.81-2.99, 3 Au 2.87-2.94, 2 Cd 3.00


(6)
CdAg2Au5: optimized geometry, PBE-GGA.

SG: Pbam, No. 55
Energy relative to the lowest polymorph listed for this composition: 0 meV per atom
Uncorrected energy: -2.935 eV/atom
Crystal system: orthorhombic

Lattice parameters (Å, degrees): 9.6378 10.1272 6.0005 90.00 90.00 90.00
Closest atoms and distances in Å follow each position.
Atoms (fractional coordinates):
Cd 0.2480 0.0817 0.0000  8 Au 2.94-2.97, 4 Ag 2.98-3.00
Cd 0.2520 0.5817 0.0000  8 Au 2.94-2.97, 4 Ag 2.98-3.00
Cd 0.7480 0.4183 0.0000  8 Au 2.94-2.97, 4 Ag 2.98-3.00
Cd 0.7520 0.9183 0.0000  8 Au 2.94-2.97, 4 Ag 2.98-3.00
Ag 0.0000 0.5000 0.2524  6 Au 2.93, 4 Ag 2.95-3.03, 2 Cd 2.98
Ag 0.0000 0.5000 0.7476  6 Au 2.93, 4 Ag 2.95-3.03, 2 Cd 2.98
Ag 0.2497 0.0821 0.5000  8 Au 2.93-2.96, 2 Ag 2.95, 2 Cd 3.00
Ag 0.2503 0.5821 0.5000  8 Au 2.93-2.96, 2 Ag 2.95, 2 Cd 3.00
Ag 0.5000 0.0000 0.2524  6 Au 2.93, 4 Ag 2.95-3.03, 2 Cd 2.98
Ag 0.5000 0.0000 0.7476  6 Au 2.93, 4 Ag 2.95-3.03, 2 Cd 2.98
Ag 0.7497 0.4179 0.5000  8 Au 2.93-2.96, 2 Ag 2.95, 2 Cd 3.00
Ag 0.7503 0.9179 0.5000  8 Au 2.93-2.96, 2 Ag 2.95, 2 Cd 3.00
Au 0.0000 0.0000 0.2519  2 Cd 2.95, 8 Au 2.95-3.02, 2 Ag 2.95
Au 0.0000 0.0000 0.7481  2 Cd 2.95, 8 Au 2.95-3.02, 2 Ag 2.95
Au 0.0009 0.7489 0.5000  4 Ag 2.93-2.96, 8 Au 2.95-3.00
Au 0.0019 0.7475 0.0000  2 Ag 2.93, 2 Cd 2.94-2.97, 8 Au 2.96-3.00
Au 0.2486 0.3329 0.2518  3 Ag 2.93-2.94, 2 Cd 2.94-2.96, 7 Au 2.95-3.02
Au 0.2486 0.3329 0.7482  3 Ag 2.93-2.94, 2 Cd 2.94-2.96, 7 Au 2.95-3.02
Au 0.2514 0.8329 0.2518  3 Ag 2.93-2.94, 2 Cd 2.94-2.96, 7 Au 2.95-3.02
Au 0.2514 0.8329 0.7482  3 Ag 2.93-2.94, 2 Cd 2.94-2.96, 7 Au 2.95-3.02
Au 0.4981 0.2475 0.0000  2 Ag 2.93, 2 Cd 2.94-2.97, 8 Au 2.96-3.00
Au 0.4991 0.2489 0.5000  4 Ag 2.93-2.96, 8 Au 2.95-3.00
Au 0.5000 0.5000 0.2519  2 Cd 2.95, 8 Au 2.95-3.02, 2 Ag 2.95
Au 0.5000 0.5000 0.7481  2 Cd 2.95, 8 Au 2.95-3.02, 2 Ag 2.95
Au 0.5009 0.7511 0.5000  4 Ag 2.93-2.96, 8 Au 2.95-3.00
Au 0.5019 0.7525 0.0000  2 Ag 2.93, 2 Cd 2.94-2.97, 8 Au 2.96-3.00
Au 0.7486 0.1671 0.2518  3 Ag 2.93-2.94, 2 Cd 2.94-2.96, 7 Au 2.95-3.02
Au 0.7486 0.1671 0.7482  3 Ag 2.93-2.94, 2 Cd 2.94-2.96, 7 Au 2.95-3.02
Au 0.7514 0.6671 0.2518  3 Ag 2.93-2.94, 2 Cd 2.94-2.96, 7 Au 2.95-3.02
Au 0.7514 0.6671 0.7482  3 Ag 2.93-2.94, 2 Cd 2.94-2.96, 7 Au 2.95-3.02
Au 0.9981 0.2525 0.0000  2 Ag 2.93, 2 Cd 2.94-2.97, 8 Au 2.96-3.00
Au 0.9991 0.2511 0.5000  4 Ag 2.93-2.96, 8 Au 2.95-3.00


(7)
CdAg3Au12: optimized geometry, PBE-GGA.

SG: P4/mmm, No. 123
Uncorrected energy: -3.109 eV/atom
Crystal system: tetragonal

Lattice parameters (Å, degrees): 4.1643 4.1643 16.7197 90.00 90.00 90.00
Closest atoms and distances in Å follow each position.
Atoms (fractional coordinates):
Cd 0.0000 0.0000 0.0000  12 Au 2.94-2.98
Ag 0.0000 0.0000 0.2525  12 Au 2.93-2.95
Ag 0.0000 0.0000 0.5000  12 Au 2.94
Ag 0.0000 0.0000 0.7475  12 Au 2.93-2.95
Au 0.0000 0.5000 0.1273  8 Au 2.94-2.98, 2 Ag 2.95, 2 Cd 2.98
Au 0.0000 0.5000 0.3761  4 Ag 2.93-2.94, 8 Au 2.94
Au 0.0000 0.5000 0.6239  4 Ag 2.93-2.94, 8 Au 2.94
Au 0.0000 0.5000 0.8727  8 Au 2.94-2.98, 2 Ag 2.95, 2 Cd 2.98
Au 0.5000 0.0000 0.1273  8 Au 2.94-2.98, 2 Ag 2.95, 2 Cd 2.98
Au 0.5000 0.0000 0.3761  4 Ag 2.93-2.94, 8 Au 2.94
Au 0.5000 0.0000 0.6239  4 Ag 2.93-2.94, 8 Au 2.94
Au 0.5000 0.0000 0.8727  8 Au 2.94-2.98, 2 Ag 2.95, 2 Cd 2.98
Au 0.5000 0.5000 0.0000  4 Cd 2.94, 8 Au 2.98
Au 0.5000 0.5000 0.2517  8 Au 2.94, 4 Ag 2.94
Au 0.5000 0.5000 0.5000  8 Au 2.94, 4 Ag 2.94
Au 0.5000 0.5000 0.7483  8 Au 2.94, 4 Ag 2.94


(8)
Cd6AgAu3: optimized geometry, PBE-GGA.

SG: Cmc2_1, No. 36
Energy relative to the lowest polymorph listed for this composition: 71 meV per atom
Uncorrected energy: -1.879 eV/atom
Crystal system: orthorhombic

Lattice parameters (Å, degrees): 8.9811 8.9811 5.7580 90.00 90.00 107.67
Closest atoms and distances in Å follow each position.
Atoms (fractional coordinates):
Cd 0.0250 0.9750 0.5000  3 Cd 2.97-3.18, 4 Au 2.98-3.03, 2 Ag 3.14-3.19
Cd 0.0544 0.4385 0.1312  3 Au 2.89-2.96, 1 Ag 2.92, 3 Cd 3.03-3.24
Cd 0.2397 0.7603 0.3927  3 Au 2.78-2.95, 1 Ag 2.79, 2 Cd 3.03
Cd 0.3281 0.3658 0.3696  4 Au 2.82-2.90, 3 Cd 2.93-3.05
Cd 0.3658 0.3281 0.8696  4 Au 2.82-2.90, 3 Cd 2.93-3.05
Cd 0.4385 0.0544 0.6312  3 Au 2.89-2.96, 1 Ag 2.92, 3 Cd 3.03-3.24
Cd 0.5615 0.9456 0.1312  3 Au 2.89-2.96, 1 Ag 2.92, 3 Cd 3.03-3.24
Cd 0.6342 0.6719 0.3696  4 Au 2.82-2.90, 3 Cd 2.93-3.05
Cd 0.6719 0.6342 0.8696  4 Au 2.82-2.90, 3 Cd 2.93-3.05
Cd 0.7603 0.2397 0.8927  3 Au 2.78-2.95, 1 Ag 2.79, 2 Cd 3.03
Cd 0.9456 0.5615 0.6312  3 Au 2.89-2.96, 1 Ag 2.92, 3 Cd 3.03-3.24
Cd 0.9750 0.0250 0.0000  3 Cd 2.97-3.18, 4 Au 2.98-3.03, 2 Ag 3.14-3.19
Ag 0.1880 0.8120 0.8586  3 Cd 2.79-2.92, 3 Au 2.84-2.92
Ag 0.8120 0.1880 0.3586  3 Cd 2.79-2.92, 3 Au 2.84-2.92
Au 0.0678 0.2991 0.6686  7 Cd 2.82-3.03, 1 Ag 2.84
Au 0.2991 0.0678 0.1686  7 Cd 2.82-3.03, 1 Ag 2.84
Au 0.3749 0.6251 0.0493  7 Cd 2.78-2.90, 1 Ag 2.92
Au 0.6251 0.3749 0.5493  7 Cd 2.78-2.90, 1 Ag 2.92
Au 0.7009 0.9322 0.6686  7 Cd 2.82-3.03, 1 Ag 2.84
Au 0.9322 0.7009 0.1686  7 Cd 2.82-3.03, 1 Ag 2.84


(9)
Cd3Ag2Au8: optimized geometry, PBE-GGA.

SG: R-3m, No. 166
Uncorrected energy: -2.646 eV/atom
Crystal system: trigonal

Lattice parameters (Å, degrees): 10.9193 10.9193 10.9193 28.92 28.92 28.92
Closest atoms and distances in Å follow each position.
Atoms (fractional coordinates):
Cd 0.0000 0.0000 0.0000  6 Ag 3.26, 12 Au 3.64
Cd 0.1839 0.1839 0.1839  10 Au 2.85-3.07
Cd 0.8161 0.8161 0.8161  10 Au 2.85-3.07
Ag 0.3604 0.3604 0.3604  4 Au 2.68-2.89
Ag 0.6396 0.6396 0.6396  4 Au 2.68-2.89
Au 0.2289 0.7288 0.7288  4 Au 2.73, 1 Ag 2.89, 1 Cd 2.95
Au 0.2712 0.2712 0.7711  4 Au 2.73, 1 Ag 2.89, 1 Cd 2.95
Au 0.2712 0.7711 0.2712  4 Au 2.73, 1 Ag 2.89, 1 Cd 2.95
Au 0.2749 0.2749 0.2749  1 Ag 2.68, 1 Cd 2.85
Au 0.7251 0.7251 0.7251  1 Ag 2.68, 1 Cd 2.85
Au 0.7288 0.2289 0.7288  4 Au 2.73, 1 Ag 2.89, 1 Cd 2.95
Au 0.7288 0.7288 0.2289  4 Au 2.73, 1 Ag 2.89, 1 Cd 2.95
Au 0.7711 0.2712 0.2712  4 Au 2.73, 1 Ag 2.89, 1 Cd 2.95


(10)
Cd2Ag3Au3: optimized geometry, PBE-GGA.

SG: R32, No. 155
Energy relative to the lowest polymorph listed for this composition: 60 meV per atom
Uncorrected energy: -2.542 eV/atom
Crystal system: trigonal

Lattice parameters (Å, degrees): 5.4380 5.4380 5.4380 80.68 80.68 80.68
Closest atoms and distances in Å follow each position.
Atoms (fractional coordinates):
Cd 0.2472 0.2472 0.2472  6 Au 2.88-3.21, 6 Ag 2.90-3.16
Cd 0.7528 0.7528 0.7528  6 Au 2.88-3.21, 6 Ag 2.90-3.16
Ag 0.0000 0.2381 0.7619  2 Au 2.72, 2 Cd 2.90, 2 Ag 2.90
Ag 0.2381 0.7619 0.0000  2 Au 2.72, 2 Cd 2.90, 2 Ag 2.90
Ag 0.7619 0.0000 0.2381  2 Au 2.72, 2 Cd 2.90, 2 Ag 2.90
Au 0.2624 0.7376 0.5000  2 Ag 2.72, 2 Cd 2.88, 2 Au 2.90
Au 0.5000 0.2624 0.7376  2 Ag 2.72, 2 Cd 2.88, 2 Au 2.90
Au 0.7376 0.5000 0.2624  2 Ag 2.72, 2 Cd 2.88, 2 Au 2.90


(11)
Cd5Ag4Au: optimized geometry, PBE-GGA.

SG: P4/mmm, No. 123
Energy relative to the lowest polymorph listed for this composition: 0 meV per atom
Uncorrected energy: -2.003 eV/atom
Crystal system: tetragonal

Lattice parameters (Å, degrees): 3.4491 3.4491 16.3190 90.00 90.00 90.00
Closest atoms and distances in Å follow each position.
Atoms (fractional coordinates):
Cd 0.0000 0.0000 0.0000  8 Ag 2.93, 2 Cd 3.26
Cd 0.0000 0.0000 0.1996  8 Ag 2.93, 2 Cd 3.26-3.28
Cd 0.0000 0.0000 0.4005  4 Au 2.93, 4 Ag 2.95, 2 Cd 3.25-3.28
Cd 0.0000 0.0000 0.5995  4 Au 2.93, 4 Ag 2.95, 2 Cd 3.25-3.28
Cd 0.0000 0.0000 0.8004  8 Ag 2.93, 2 Cd 3.26-3.28
Ag 0.5000 0.5000 0.1000  8 Cd 2.93, 2 Ag 3.25-3.26
Ag 0.5000 0.5000 0.2993  8 Cd 2.93-2.95, 1 Ag 3.25, 1 Au 3.28
Ag 0.5000 0.5000 0.7007  8 Cd 2.93-2.95, 1 Ag 3.25, 1 Au 3.28
Ag 0.5000 0.5000 0.9000  8 Cd 2.93, 2 Ag 3.25-3.26
Au 0.5000 0.5000 0.5000  8 Cd 2.93, 2 Ag 3.28


(12)
CdAg5Au4: optimized geometry, PBE-GGA.

SG: P-1, No. 2
Energy relative to the lowest polymorph listed for this composition: 0 meV per atom
Uncorrected energy: -2.900 eV/atom
Crystal system: triclinic

Lattice parameters (Å, degrees): 5.0931 5.9594 6.5593 76.65 75.57 72.73
Closest atoms and distances in Å follow each position.
Atoms (fractional coordinates):
Cd 0.0000 0.0000 0.0000  6 Au 2.94-2.96, 6 Ag 2.94-2.98
Ag 0.0000 0.5000 0.0000  4 Au 2.93-2.96, 6 Ag 2.93-2.96, 2 Cd 2.98
Ag 0.1999 0.7989 0.5976  4 Ag 2.91-2.96, 7 Au 2.92-2.99, 1 Cd 2.97
Ag 0.4033 0.5974 0.2003  5 Ag 2.91-2.95, 6 Au 2.94-3.00, 1 Cd 2.94
Ag 0.5967 0.4026 0.7997  5 Ag 2.91-2.95, 6 Au 2.94-3.00, 1 Cd 2.94
Ag 0.8001 0.2011 0.4024  4 Ag 2.91-2.96, 7 Au 2.92-2.99, 1 Cd 2.97
Au 0.1990 0.3014 0.5984  3 Au 2.90-2.94, 8 Ag 2.92-2.99, 1 Cd 2.96
Au 0.4017 0.1007 0.2007  7 Ag 2.93-3.00, 3 Au 2.93-2.97, 2 Cd 2.94-2.95
Au 0.5983 0.8993 0.7993  7 Ag 2.93-3.00, 3 Au 2.93-2.97, 2 Cd 2.94-2.95
Au 0.8010 0.6986 0.4016  3 Au 2.90-2.94, 8 Ag 2.92-2.99, 1 Cd 2.96


Number 1: DOS(E_F) 0.255 states/eV per atom. Number 2: DOS(E_F) 0.358 states/eV per atom. Number 3: DOS(E_F) 0.614 states/eV per atom. Number 4: DOS(E_F) 0.300 states/eV per atom. Number 5: DOS(E_F) 0.289 states/eV per atom. Number 6: DOS(E_F) 0.345 states/eV per atom. Number 7: DOS(E_F) 0.254 states/eV per atom. Number 8: DOS(E_F) 0.305 states/eV per atom. Number 9: DOS(E_F) 0.321 states/eV per atom. Number 10: DOS(E_F) 0.349 states/eV per atom. Number 11: DOS(E_F) 0.376 states/eV per atom. Number 12: DOS(E_F) 0.199 states/eV per atom.